Record 1
{
  "formula": "BaPm2O4",
  "functional": "PBE",
  "state": "relaxed",
  "vol_a3_per_atom": 19.08,
  "magmom_total_mub_per_cell": 0.000,
  "final_energy_ev_per_atom": -7.6168,
  "cell": [[5.1112, -5.1125, 0.0000], [-5.1112, 0.0000, -5.1125], [5.1112, 5.1125, 0.0000]],
  "species": ["Ba", "Ba", "O", "O", "Pm", "O", "Pm", "O", "O", "O", "Pm", "Pm", "O", "O"],
  "fractional_positions": [[0.7500, 0.5000, 0.2500], [0.0000, 0.0000, 0.0000], [0.1438, 0.7123, 0.8561], [0.6061, 0.2123, 0.3938], [0.3750, 0.2500, 0.6250], [0.1815, 0.7877, 0.3938], [0.3750, 0.7500, 0.6250], [0.1439, 0.2877, 0.8562], [0.6062, 0.7877, 0.3939], [0.5685, 0.7123, 0.8562], [0.8750, 0.2500, 0.6250], [0.3750, 0.7500, 0.1250], [0.1438, 0.2877, 0.4315], [0.6062, 0.2123, 0.8185]]
}

=====

Record 2
{
  "formula": "SmSbCl2O2",
  "functional": "PBE",
  "state": "relaxed",
  "vol_a3_per_atom": 17.60,
  "magmom_total_mub_per_cell": 0.003,
  "final_energy_ev_per_atom": -5.8392,
  "cell": [[-2.1723, 1.3809, 2.9051], [1.0904, -2.9818, 2.2327], [5.4645, 3.7302, 2.3130]],
  "species": ["Cl", "Sb", "Sm", "O", "Cl", "O"],
  "fractional_positions": [[0.0000, 0.0000, 0.6170], [0.5000, 0.5000, 0.8445], [0.0000, 0.0000, 0.1903], [0.0000, 0.5000, 0.0001], [0.5000, 0.5000, 0.3479], [0.5000, 0.0000, 0.0001]]
}

=====

Record 3
{
  "formula": "SmTc2B2",
  "functional": "PBE",
  "state": "relaxed",
  "vol_a3_per_atom": 14.20,
  "magmom_total_mub_per_cell": 0.033,
  "final_energy_ev_per_atom": -7.9902,
  "cell": [[-0.9899, 1.3654, 5.5085], [-0.0513, 5.3326, 2.1791], [-2.0552, -3.1661, -4.3520]],
  "species": ["Tc", "B", "B", "Sm", "Tc"],
  "fractional_positions": [[0.2500, 0.7500, 0.5000], [0.6194, 0.6194, 0.0000], [0.3806, 0.3806, 0.0000], [0.0000, 0.0000, 0.0000], [0.7500, 0.2500, 0.5000]]
}

=====

Record 4
{
  "formula": "DyY2Cu4Si4",
  "functional": "PBE",
  "state": "relaxed",
  "vol_a3_per_atom": 16.77,
  "magmom_total_mub_per_cell": 0.001,
  "final_energy_ev_per_atom": -5.5568,
  "cell": [[-2.0638, 3.2683, 6.8368], [2.0638, -3.2683, 6.8368], [2.0638, 3.2683, -6.8368]],
  "species": ["Dy", "Y", "Si", "Cu", "Si", "Cu", "Y", "Cu", "Cu", "Si", "Si"],
  "fractional_positions": [[0.0000, 0.0000, 0.0000], [0.3703, 0.8703, 0.5000], [0.3152, 0.5000, 0.8152], [0.0219, 0.3314, 0.6905], [0.7842, 0.7842, 0.0000], [0.6409, 0.3314, 0.3095], [0.6297, 0.1297, 0.5000], [0.3591, 0.6686, 0.6905], [0.9781, 0.6686, 0.3095], [0.6848, 0.5000, 0.1848], [0.2158, 0.2158, 0.0000]]
}

=====

Record 5
{
  "formula": "NbInCoCu",
  "functional": "PBE",
  "state": "relaxed",
  "vol_a3_per_atom": 14.97,
  "magmom_total_mub_per_cell": 0.007,
  "final_energy_ev_per_atom": -5.9290,
  "cell": [[0.0000, 3.1051, 3.1051], [3.1051, 0.0000, 3.1051], [3.1051, 3.1051, 0.0000]],
  "species": ["Nb", "Cu", "Co", "In"],
  "fractional_positions": [[0.5000, 0.5000, 0.5000], [0.2500, 0.2500, 0.2500], [0.7500, 0.7500, 0.7500], [0.0000, 0.0000, 0.0000]]
}

=====

Record 6
{
  "formula": "NaSmFeSe3",
  "functional": "PBE",
  "state": "relaxed",
  "vol_a3_per_atom": 26.21,
  "magmom_total_mub_per_cell": 15.533,
  "final_energy_ev_per_atom": -5.2640,
  "cell": [[-10.7739, 4.1036, 7.6303], [-1.9399, -3.4382, -0.8901], [4.5376, -4.9014, 9.0429]],
  "species": ["Se", "Fe", "Se", "Se", "Fe", "Sm", "Se", "Se", "Na", "Na", "Sm", "Se", "Sm", "Se", "Se", "Fe", "Sm", "Na", "Se", "Fe", "Se", "Se", "Na", "Se"],
  "fractional_positions": [[0.9010, 0.2500, 0.3898], [0.4923, 0.2500, 0.9211], [0.5990, 0.7500, 0.8898], [0.6147, 0.2500, 0.5654], [0.5077, 0.7500, 0.0789], [0.5144, 0.2500, 0.3401], [0.1147, 0.2500, 0.9346], [0.1348, 0.7500, 0.2725], [0.7280, 0.2500, 0.0507], [0.7720, 0.7500, 0.5507], [0.0144, 0.2500, 0.1599], [0.3853, 0.7500, 0.4346], [0.9856, 0.7500, 0.8401], [0.8853, 0.7500, 0.0654], [0.4010, 0.2500, 0.1102], [0.9923, 0.2500, 0.5789], [0.4856, 0.7500, 0.6599], [0.2720, 0.7500, 0.9493], [0.3652, 0.2500, 0.7725], [0.0077, 0.7500, 0.4211], [0.0990, 0.7500, 0.6102], [0.6348, 0.7500, 0.2275], [0.2280, 0.2500, 0.4493], [0.8652, 0.2500, 0.7275]]
}

=====

Record 7
{
  "formula": "La2Sm2CBr5",
  "functional": "PBE",
  "state": "relaxed",
  "vol_a3_per_atom": 30.72,
  "magmom_total_mub_per_cell": 0.286,
  "final_energy_ev_per_atom": -5.1500,
  "cell": [[9.1753, -1.9976, 0.0000], [9.1753, 1.9976, 0.0000], [-1.9482, 0.0000, 8.3802]],
  "species": ["La", "Sm", "Br", "La", "Br", "Sm", "C", "Br", "Br", "Br"],
  "fractional_positions": [[0.0016, 0.0016, 0.7926], [0.6393, 0.6393, 0.0730], [0.1745, 0.1745, 0.8432], [0.9984, 0.9984, 0.2074], [0.8320, 0.8320, 0.6703], [0.3607, 0.3607, 0.9270], [0.5000, 0.5000, 0.0000], [0.5000, 0.5000, 0.5000], [0.1680, 0.1680, 0.3297], [0.8255, 0.8255, 0.1568]]
}

=====

Record 8
{
  "formula": "CuSb",
  "functional": "PBE",
  "state": "relaxed",
  "vol_a3_per_atom": 19.73,
  "final_energy_ev_per_atom": -3.7713,
  "cell": [[-1.3252, -3.5175, 0.6902], [-0.1801, -1.3043, 3.5877], [-3.3930, -0.4650, 1.6961]],
  "species": ["Cu", "Sb"],
  "fractional_positions": [[0.0000, 0.0000, 0.0000], [0.5000, 0.5000, 0.5000]]
}

=====

Record 9
{
  "formula": "GdLuSn",
  "functional": "PBE",
  "state": "relaxed",
  "vol_a3_per_atom": 31.22,
  "magmom_total_mub_per_cell": 0.023,
  "final_energy_ev_per_atom": -4.7506,
  "cell": [[0.0000, 3.6044, 3.6044], [3.6044, 0.0000, 3.6044], [3.6044, 3.6044, 0.0000]],
  "species": ["Lu", "Gd", "Sn"],
  "fractional_positions": [[0.7500, 0.7500, 0.7500], [0.2500, 0.2500, 0.2500], [0.0000, 0.0000, 0.0000]]
}

=====

Record 10
{
  "formula": "Ho5CdAg4",
  "functional": "PBE",
  "state": "relaxed",
  "ef_ev_per_fu": -3.388,
  "vol_a3_per_atom": 24.13,
  "magmom_total_mub_per_cell": 0.007,
  "cell": [[-0.8415, 3.0892, -1.7304], [-0.8905, -1.9061, -2.9698], [-17.1559, -1.3177, 5.9900]],
  "species": ["Ho", "Cd", "Ho", "Ho", "Ag", "Ag", "Ag", "Ho", "Ho", "Ag"],
  "fractional_positions": [[0.5000, 0.5000, 0.5000], [0.0000, 0.0000, 0.0000], [0.5000, 0.5000, 0.8943], [0.5000, 0.5000, 0.6977], [0.0000, 0.0000, 0.4013], [0.0000, 0.0000, 0.7978], [0.0000, 0.0000, 0.2022], [0.5000, 0.5000, 0.3023], [0.5000, 0.5000, 0.1057], [0.0000, 0.0000, 0.5987]]
}

=====

Record 11
{
  "formula": "La2PrNb2N6",
  "functional": "PBE",
  "state": "relaxed",
  "vol_a3_per_atom": 15.07,
  "magmom_total_mub_per_cell": 0.003,
  "final_energy_ev_per_atom": -8.9797,
  "cell": [[6.9913, 7.0697, 2.9654], [2.1883, 10.0000, 1.6929], [-5.4771, -8.8031, 0.4021]],
  "species": ["Nb", "N", "N", "N", "N", "Pr", "Nb", "La", "N", "N", "La"],
  "fractional_positions": [[0.3998, 0.3998, 0.0000], [0.3012, 0.3012, 0.0000], [0.6988, 0.6988, 0.0000], [0.0833, 0.5834, 0.5000], [0.5834, 0.0833, 0.5000], [0.0000, 0.0000, 0.0000], [0.6002, 0.6002, 0.0000], [0.1797, 0.1797, 0.0000], [0.4166, 0.9166, 0.5000], [0.9166, 0.4166, 0.5000], [0.8203, 0.8203, 0.0000]]
}

=====

Record 12
{
  "formula": "LuBeFePb",
  "functional": "PBE",
  "state": "relaxed",
  "vol_a3_per_atom": 18.17,
  "magmom_total_mub_per_cell": 1.929,
  "final_energy_ev_per_atom": -4.6990,
  "cell": [[0.0000, 3.3123, 3.3123], [3.3123, 0.0000, 3.3123], [3.3123, 3.3123, 0.0000]],
  "species": ["Lu", "Pb", "Fe", "Be"],
  "fractional_positions": [[0.2500, 0.2500, 0.2500], [0.0000, 0.0000, 0.0000], [0.7500, 0.7500, 0.7500], [0.5000, 0.5000, 0.5000]]
}